a) Mg2Tl2Pd | the Alexandria database | PBE-GGA | optimized geometry; volume = 23.06 A^3/atom; space group = P4/mbm; magnetization = 0.00 μB per atom; N(E_F) = 0.346 states/eV per atom
1.0
7.074 0.000 0.000
0.000 7.074 0.000
0.000 0.000 4.608
Pd Tl Mg
2 4 4
Direct
0.000 0.000 0.000 Pd
0.500 0.500 0.000 Pd
0.165 0.665 0.500 Tl
0.835 0.335 0.500 Tl
0.665 0.835 0.500 Tl
0.335 0.165 0.500 Tl
0.155 0.345 0.000 Mg
0.345 0.845 0.000 Mg
0.655 0.155 0.000 Mg
0.845 0.655 0.000 Mg

---

b) Mg2Tl2Pd | the Alexandria database | PBE-GGA | optimized geometry; volume = 22.89 A^3/atom; space group = P4/mbm; magnetization = 0.00 μB per atom; N(E_F) = 0.371 states/eV per atom
1.0
-0.573 3.185 6.570
-1.378 -6.518 3.040
4.180 -0.582 0.647
Tl Pd Mg
4 2 4
Direct
0.851 0.649 0.000 Tl
0.649 0.149 0.000 Tl
0.149 0.351 0.000 Tl
0.351 0.851 0.000 Tl
0.000 0.000 0.000 Pd
0.500 0.500 0.000 Pd
0.661 0.839 0.500 Mg
0.839 0.339 0.500 Mg
0.161 0.661 0.500 Mg
0.339 0.161 0.500 Mg

---

Among the structures shown above, a) is the most stable, with the second-best lying 46 meV/atom higher.